Computed, not measured: a relaxed structure of RbLi2HgF6 at the PBE-GGA level of DFT.

M_tot: 1.80 μB/cell
formation energy without anion corrections: -208 kJ/mol of atoms
crystal system: monoclinic
calculated density: 4.55 g cm⁻³

POSCAR file:
```
RbLi2HgF6
1.0
-6.292 1.878 2.877
-4.341 -4.689 -2.267
0.416 -2.083 6.439
F Hg Li Rb
12 2 4 2
direct
0.868 0.375 0.203 F
0.303 0.260 0.026 F
0.197 0.974 0.740 F
0.697 0.740 0.974 F
0.524 0.401 0.663 F
0.368 0.203 0.375 F
0.976 0.337 0.599 F
0.803 0.026 0.260 F
0.024 0.663 0.401 F
0.476 0.599 0.337 F
0.632 0.797 0.625 F
0.132 0.625 0.797 F
0.250 0.272 0.728 Hg
0.750 0.728 0.272 Hg
0.616 0.314 0.367 Li
0.116 0.367 0.314 Li
0.884 0.633 0.686 Li
0.384 0.686 0.633 Li
0.250 0.857 0.143 Rb
0.750 0.143 0.857 Rb
```

Computed, not measured: a relaxed structure of LiHgRhF6 at the PBE-GGA level of DFT.

M_tot: 0.23 μB/cell
formation energy without anion corrections: -177 kJ/mol of atoms
crystal system: trigonal
calculated density: 5.77 g cm⁻³

POSCAR file:
```
LiHgRhF6
1.0
-3.071 -2.177 3.719
2.543 -3.083 -3.470
7.901 -0.498 6.233
F Hg Li Rh
12 2 2 2
direct
0.355 0.362 0.860 F
0.638 0.993 0.860 F
0.007 0.645 0.860 F
0.993 0.638 0.360 F
0.645 0.638 0.140 F
0.362 0.355 0.360 F
0.993 0.355 0.140 F
0.638 0.645 0.640 F
0.007 0.362 0.640 F
0.355 0.993 0.640 F
0.362 0.007 0.140 F
0.645 0.007 0.360 F
0.000 0.000 0.500 Hg
0.000 0.000 0.000 Hg
0.333 0.667 0.250 Li
0.667 0.333 0.750 Li
0.667 0.333 0.250 Rh
0.333 0.667 0.750 Rh
```

Computed, not measured: a relaxed structure of Li2HgRhF6 at the PBE-GGA level of DFT.

M_tot: 0.88 μB/cell
formation energy without anion corrections: -188 kJ/mol of atoms
crystal system: triclinic
calculated density: 4.97 g cm⁻³

POSCAR file:
```
Li2HgRhF6
1.0
5.378 0.001 0.005
2.690 4.656 0.001
2.692 1.552 5.760
F Li Rh Hg
6 2 1 1
direct
0.699 0.053 0.872 F
0.579 0.257 0.230 F
0.933 0.580 0.231 F
0.257 0.933 0.230 F
0.053 0.376 0.873 F
0.376 0.699 0.873 F
0.634 0.634 0.097 Li
0.998 0.998 0.006 Li
0.316 0.316 0.052 Rh
0.816 0.816 0.552 Hg
```

Computed, not measured: a relaxed structure of Li2HgRhF8 at the PBE-GGA level of DFT.

M_tot: 1.02 μB/cell
formation energy without anion corrections: -190 kJ/mol of atoms
crystal system: monoclinic
calculated density: 4.95 g cm⁻³

POSCAR file:
```
Li2HgRhF8
1.0
4.744 -0.003 0.000
0.025 4.737 -0.002
0.009 0.012 7.006
F Li Hg Rh
8 2 1 1
direct
0.713 0.713 0.000 F
0.287 0.287 0.000 F
0.204 0.796 0.798 F
0.203 0.796 0.202 F
0.315 0.315 0.500 F
0.796 0.204 0.202 F
0.685 0.685 0.500 F
0.797 0.204 0.798 F
0.501 0.501 0.259 Li
0.499 0.499 0.741 Li
0.000 0.000 0.500 Hg
0.000 0.000 0.000 Rh
```

Computed, not measured: a relaxed structure of LiHgRuF2 at the PBE-GGA level of DFT.

M_tot: 1.12 μB/cell
formation energy without anion corrections: -66 kJ/mol of atoms
crystal system: tetragonal
calculated density: 6.55 g cm⁻³

POSCAR file:
```
LiHgRuF2
1.0
-1.823 2.979 -2.104
-4.565 -2.651 0.202
-0.942 1.888 3.489
Li F Ru Hg
1 2 1 1
direct
0.000 0.500 0.000 Li
0.500 0.000 0.000 F
0.000 0.000 0.500 F
0.000 0.000 0.000 Ru
0.500 0.500 0.500 Hg
```

Computed, not measured: a relaxed structure of LiHgRuF6 at the PBE-GGA level of DFT.

M_tot: 2.01 μB/cell
formation energy without anion corrections: -177 kJ/mol of atoms
crystal system: trigonal
calculated density: 5.57 g cm⁻³

POSCAR file:
```
LiHgRuF6
1.0
-1.507 -5.094 -0.083
5.157 1.240 0.317
-0.638 0.021 10.284
F Ru Hg Li
12 2 2 2
direct
0.368 0.009 0.142 F
0.009 0.368 0.642 F
0.642 0.009 0.358 F
0.991 0.358 0.142 F
0.358 0.368 0.858 F
0.368 0.358 0.358 F
0.642 0.632 0.142 F
0.358 0.991 0.642 F
0.991 0.632 0.358 F
0.632 0.642 0.642 F
0.632 0.991 0.858 F
0.009 0.642 0.858 F
0.333 0.667 0.750 Ru
0.667 0.333 0.250 Ru
0.000 0.000 0.500 Hg
0.000 0.000 0.000 Hg
0.667 0.333 0.750 Li
0.333 0.667 0.250 Li
```

Computed, not measured: a relaxed structure of Li2HgSF at the PBE-GGA level of DFT.

M_tot: 0.00 μB/cell
formation energy without anion corrections: -80 kJ/mol of atoms
crystal system: tetragonal
calculated density: 4.38 g cm⁻³

POSCAR file:
```
Li2HgSF
1.0
-4.417 -1.262 0.651
1.389 -3.333 2.965
-0.336 2.997 3.526
Li Hg S F
2 1 1 1
direct
0.000 0.000 0.500 Li
0.500 0.000 0.000 Li
0.500 0.500 0.500 Hg
0.000 0.000 0.000 S
0.000 0.500 0.000 F
```

Computed, not measured: a relaxed structure of LiScHgF6 at the PBE-GGA level of DFT.

M_tot: 0.00 μB/cell
formation energy without anion corrections: -278 kJ/mol of atoms
crystal system: trigonal
calculated density: 4.91 g cm⁻³

POSCAR file:
```
LiScHgF6
1.0
-4.888 0.037 2.217
0.586 -1.261 -5.184
1.035 -9.566 2.444
Li Hg F Sc
2 2 12 2
direct
0.667 0.333 0.250 Li
0.333 0.667 0.750 Li
0.000 0.000 0.500 Hg
0.000 0.000 0.000 Hg
0.996 0.642 0.861 F
0.646 0.004 0.861 F
0.004 0.358 0.139 F
0.642 0.996 0.361 F
0.354 0.358 0.361 F
0.642 0.646 0.139 F
0.358 0.354 0.861 F
0.004 0.646 0.361 F
0.646 0.642 0.639 F
0.996 0.354 0.639 F
0.354 0.996 0.139 F
0.358 0.004 0.639 F
0.333 0.667 0.250 Sc
0.667 0.333 0.750 Sc
```

Computed, not measured: a relaxed structure of Li2ScHgF8 at the PBE-GGA level of DFT.

M_tot: 0.00 μB/cell
formation energy without anion corrections: -256 kJ/mol of atoms
crystal system: monoclinic
calculated density: 4.43 g cm⁻³

POSCAR file:
```
Li2ScHgF8
1.0
4.742 -0.056 -0.003
-0.026 4.741 -0.005
0.004 0.007 6.860
F Li Hg Sc
8 2 1 1
direct
0.699 0.701 0.000 F
0.201 0.798 0.227 F
0.315 0.314 0.500 F
0.799 0.202 0.773 F
0.685 0.686 0.500 F
0.201 0.798 0.773 F
0.301 0.299 0.000 F
0.799 0.202 0.227 F
0.500 0.500 0.222 Li
0.500 0.500 0.778 Li
0.000 0.000 0.500 Hg
0.000 0.000 0.000 Sc
```

Computed, not measured: a relaxed structure of Li2SiHgF at the PBE-GGA level of DFT.

M_tot: 0.00 μB/cell
formation energy without anion corrections: -10 kJ/mol of atoms
crystal system: tetragonal
calculated density: 3.36 g cm⁻³

POSCAR file:
```
Li2SiHgF
1.0
5.333 0.000 0.000
0.000 4.542 0.000
0.000 0.000 5.333
Li Si Hg F
2 1 1 1
direct
0.500 0.000 0.000 Li
0.000 0.000 0.500 Li
0.000 0.500 0.000 Si
0.000 0.000 0.000 Hg
0.500 0.500 0.500 F
```

Computed, not measured: a relaxed structure of LiSiHgF6 at the PBE-GGA level of DFT.

M_tot: 0.83 μB/cell
formation energy without anion corrections: -251 kJ/mol of atoms
crystal system: trigonal
calculated density: 4.46 g cm⁻³

POSCAR file:
```
LiSiHgF6
1.0
5.129 0.002 0.001
2.566 4.441 -0.001
0.001 -0.002 5.719
Li F Si Hg
1 6 1 1
direct
0.667 0.667 0.500 Li
0.352 0.049 0.672 F
0.599 0.352 0.672 F
0.352 0.599 0.328 F
0.600 0.049 0.328 F
0.049 0.352 0.328 F
0.049 0.600 0.672 F
0.333 0.333 0.500 Si
0.000 0.000 0.000 Hg
```

Computed, not measured: a relaxed structure of SrLi2HgF at the PBE-GGA level of DFT.

M_tot: 0.00 μB/cell
formation energy without anion corrections: -117 kJ/mol of atoms
crystal system: tetragonal
calculated density: 5.32 g cm⁻³

POSCAR file:
```
SrLi2HgF
1.0
4.457 0.000 0.000
0.000 4.457 0.000
0.000 0.000 5.044
Sr F Hg Li
1 1 1 2
direct
0.000 0.000 0.500 Sr
0.000 0.000 0.000 F
0.500 0.500 0.500 Hg
0.000 0.500 0.000 Li
0.500 0.000 0.000 Li
```

E, record by record: -75.77, -74.67, -42.16, -50.12, -18.63, -78.53, -14.29, -91.42, -57.24, -11.97, -42.26, -13.76 eV per cell